Record 1
A plane-wave DFT calculation with PBE was carried out for a geometry-optimized Na2ReWN structure.

Computed properties:
- E_tot (hartree per atom) = -0.1753
- spin magnetization (μB per formula unit) = 1.8
- calculated density (Mg/m³) = 4.53
- ΔE_f (raw) (eV/f.u.) = 12.5

```
5
Lattice="5.829 0.000 0.000 0.000 5.829 0.000 0.000 0.000 4.640" Properties=species:S:1:pos:R:3 pbc="T T T"
Na 0.000 2.914 0.000
Na 2.914 0.000 0.000
Re 0.000 0.000 0.000
W 0.000 0.000 2.320
N 2.914 2.914 2.320
```

***

Record 2
A plane-wave DFT calculation with PBE was carried out for a geometry-optimized NaZn2ReN4 structure.

Computed properties:
- E_tot (hartree per atom) = -0.2337
- spin magnetization (μB per formula unit) = 0.0
- calculated density (Mg/m³) = 6.08
- ΔE_f (raw) (eV/f.u.) = -1.3

```
16
Lattice="7.020 0.000 0.000 0.000 5.648 0.000 0.000 0.000 5.453" Properties=species:S:1:pos:R:3 pbc="T T T"
Na 0.000 0.963 0.000
Na 3.510 4.685 2.727
Zn 1.724 1.848 2.789
Zn 1.786 3.800 0.063
Zn 5.233 3.800 0.063
Zn 5.296 1.848 2.789
Re 0.000 4.580 2.805
Re 3.510 1.068 0.079
N 0.000 0.752 2.430
N 0.000 4.318 4.624
N 1.466 3.765 2.083
N 2.043 1.883 4.809
N 3.510 1.330 1.897
N 3.510 4.896 5.156
N 4.976 1.883 4.809
N 5.553 3.765 2.083
```

***

Record 3
A plane-wave DFT calculation with PBE was carried out for a geometry-optimized Na2ZrReN4 structure.

Computed properties:
- E_tot (hartree per atom) = -0.2808
- spin magnetization (μB per formula unit) = 0.0
- calculated density (Mg/m³) = 4.93
- ΔE_f (raw) (eV/f.u.) = -4.2

```
16
Lattice="6.770 0.000 0.000 0.000 6.680 0.000 0.000 0.000 5.647" Properties=species:S:1:pos:R:3 pbc="T T T"
Na 1.679 1.054 0.000
Na 1.706 5.626 2.823
Na 5.064 5.626 2.823
Na 5.091 1.054 0.000
Zr 0.000 2.397 2.872
Zr 3.385 4.283 0.049
Re 0.000 4.410 0.101
Re 3.385 2.270 2.924
N 0.000 2.745 4.931
N 0.000 4.233 1.940
N 1.576 5.338 5.319
N 1.809 1.342 2.496
N 3.385 2.447 4.763
N 3.385 3.935 2.108
N 4.961 1.342 2.496
N 5.194 5.338 5.319
```

***

Record 4
A plane-wave DFT calculation with PBE was carried out for a geometry-optimized Na3RhN structure.

Computed properties:
- E_tot (hartree per atom) = -0.0943
- spin magnetization (μB per formula unit) = 3.0
- calculated density (Mg/m³) = 1.91
- offset from the most stable computed form (kJ/mol of atoms) = 52.05
- ΔE_f (raw) (eV/f.u.) = 6.8

```
5
Lattice="5.442 0.000 0.000 0.000 5.442 0.000 0.000 0.000 5.442" Properties=species:S:1:pos:R:3 pbc="T T T"
Na 0.000 0.000 2.721
Na 0.000 2.721 0.000
Na 2.721 0.000 0.000
Rh 0.000 0.000 0.000
N 2.721 2.721 2.721
```

***

Record 5
A plane-wave DFT calculation with PBE was carried out for a geometry-optimized NaRhN structure.

Computed properties:
- E_tot (hartree per atom) = -0.2055
- spin magnetization (μB per formula unit) = 0.0
- calculated density (Mg/m³) = 5.26
- offset from the most stable computed form (kJ/mol of atoms) = 0.00
- ΔE_f (raw) (eV/f.u.) = 0.2

```
3
Lattice="3.178 0.000 0.000 -1.589 2.752 0.000 0.000 0.000 5.046" Properties=species:S:1:pos:R:3 pbc="T T T"
Na 0.000 0.000 0.000
Rh 1.589 0.917 2.467
N 0.000 1.835 1.750
```

***

Record 6
A plane-wave DFT calculation with PBE was carried out for a geometry-optimized NaRhN3 structure.

Computed properties:
- E_tot (hartree per atom) = -0.1308
- spin magnetization (μB per formula unit) = 0.0
- calculated density (Mg/m³) = 4.69
- ΔE_f (raw) (eV/f.u.) = 15.9

```
5
Lattice="3.903 0.000 0.000 0.000 3.903 0.000 0.000 0.000 3.903" Properties=species:S:1:pos:R:3 pbc="T T T"
Na 0.000 0.000 0.000
Rh 1.951 1.951 1.951
N 0.000 0.000 1.951
N 0.000 1.951 0.000
N 1.951 0.000 0.000
```